# 1
# Er6Al43Cr4

Er6Al43Cr4 after structural relaxation (PBE, Alexandria).

As for the formation energy from the elements: -14.3 eV/f.u. The crystal system is hexagonal.

The space group is P6_3/mcm (No. 193) and the conventional cell measures 10.8916, 10.8916 and 17.5186 Å, with angles of 90.00, 90.00 and 120.00 degrees. The inequivalent atoms are Er at (0.0000, 0.4697, 0.0952), Al at (0.0000, 0.1455, 0.7500), Al at (0.0000, 0.1555, 0.1157), Al at (0.0000, 0.2504, 0.5302), Al at (0.1442, 0.5467, 0.2500), Al at (0.1583, 0.3912, 0.6652), Al at (0.2463, 0.4926, 0.0000), Al at (0.3333, 0.6667, 0.1267), Cr at (0.0000, 0.0000, 0.0000) and Cr at (0.0000, 0.2680, 0.2500).

---

# 2
# Er2Al3Cr

Er2Al3Cr after structural relaxation (PBE, Alexandria).

As for the formation energy from the elements: -2.1 eV/f.u. The crystal system is trigonal.

The space group is R-3m (No. 166, hexagonal axes) and the conventional cell measures 5.5381, 5.5381 and 13.2703 Å, with angles of 90.00, 90.00 and 120.00 degrees. The inequivalent atoms are Er at (0.0000, 0.0000, 0.1268), Al at (0.0000, 0.5000, 0.0000) and Cr at (0.0000, 0.0000, 0.5000).

---

# 3
# ErAl11Cr

ErAl11Cr after structural relaxation (PBE, Alexandria).

As for the formation energy from the elements: -1.9 eV/f.u. The crystal system is monoclinic.

The space group is C2/m (No. 12) and the conventional cell measures 5.201, 12.724 and 7.058 Å, with angles of 90.00, 110.77 and 90.00 degrees. The inequivalent atoms are Er at (0.000, 0.000, 0.000), Al at (0.000, 0.000, 0.500), Al at (0.105, 0.393, 0.222), Al at (0.198, 0.172, 0.362), Al at (0.250, 0.250, 0.000) and Cr at (0.000, 0.500, 0.500).

---

# 4
# ErAl8Cr2

ErAl8Cr2 after structural relaxation (PBE, Alexandria).

As for the formation energy from the elements: 0.5 eV/f.u. The crystal system is monoclinic.

The space group is C2/m (No. 12) and the conventional cell measures 7.486, 11.259 and 4.871 Å, with angles of 90.00, 105.79 and 90.00 degrees. The inequivalent atoms are Er at (0.000, 0.000, 0.000), Al at (0.000, 0.275, 0.000), Al at (0.089, 0.500, 0.770), Al at (0.212, 0.117, 0.597) and Cr at (0.000, 0.293, 0.500).

---

| no. | total DFT energy (no corrections) (eV/atom) |
| --- | --- |
| 1 | -4.548 |
| 2 | -5.343 |
| 3 | -4.404 |
| 4 | -4.838 |